(1)
This record from Alexandria via LeMat-Bulk describes a relaxed SbOsPb2 crystal. The functional is PBE.

```
4
Lattice="-0.588 -3.624 -3.325 -2.894 -1.273 5.438 -3.387 0.793 -0.567" Properties=species:S:1:pos:R:3 pbc="T T T"
Os -1.741 -2.449 1.057
Pb 0.000 0.000 0.000
Pb -1.988 -1.415 -1.946
Sb -3.141 -0.240 2.436
```

Output
E_form (uncorrected)	0.9208	eV/atom
crystal system	monoclinic

(2)
This record from Alexandria via LeMat-Bulk describes a relaxed Cs3NiHg crystal. The functional is PBE.

```
5
Lattice="-4.648 4.039 -1.151 -2.781 -1.673 5.358 3.147 4.487 3.035" Properties=species:S:1:pos:R:3 pbc="T T T"
Cs -1.391 -0.837 2.679
Cs 1.573 2.243 1.517
Cs -2.324 2.019 -0.576
Ni 0.000 0.000 0.000
Hg -2.141 3.426 3.621
```

Output
crystal system	cubic
energy of formation from the pure elements	391	meV per atom

(3)
This record from Alexandria via LeMat-Bulk describes a relaxed ZrInBr2 crystal. The functional is PBE.

```
4
Lattice="3.591 -0.011 0.000 -1.805 3.105 0.000 0.000 0.000 10.381" Properties=species:S:1:pos:R:3 pbc="T T T"
Br 0.000 0.000 9.755
Br 0.893 1.547 3.197
Zr 0.893 1.547 7.710
In 0.000 0.000 5.290
```

Output
E above lowest polymorph	0.263	eV/atom
E_form (uncorrected)	-0.4979	eV/atom
crystal system	orthorhombic

(4)
This record from Alexandria via LeMat-Bulk describes a relaxed PrRuPb crystal. The functional is PBE.

```
12
Lattice="-5.638 -0.181 3.172 3.596 -5.800 -0.542 3.643 1.645 6.569" Properties=species:S:1:pos:R:3 pbc="T T T"
Ru -0.633 -0.378 5.454
Ru -1.995 -4.686 2.788
Ru 2.234 -3.959 3.745
Ru 3.596 0.349 6.411
Pb -0.408 -0.320 2.557
Pb 4.828 -3.926 5.056
Pb 2.009 -4.017 6.642
Pb -3.227 -0.411 4.143
Pr -0.904 -3.099 4.818
Pr 0.730 -0.857 7.851
Pr 2.505 -1.238 4.381
Pr 0.870 -3.480 1.348
```

Output
crystal system	orthorhombic
energy of formation from the pure elements	-30	meV per atom

(5)
This record from Alexandria via LeMat-Bulk describes a relaxed Sc2TeP crystal. The functional is PBE.

```
4
Lattice="-2.714 -1.763 7.421 0.583 1.043 8.007 -3.378 2.525 6.911" Properties=species:S:1:pos:R:3 pbc="T T T"
Sc -4.946 1.621 20.058
Sc -0.563 0.184 2.281
P 0.000 0.000 0.000
Te -2.754 0.903 11.169
```

Output
E above lowest polymorph	1.031	eV/atom
E_form (uncorrected)	-0.3617	eV/atom
crystal system	trigonal

(6)
This record from Alexandria via LeMat-Bulk describes a relaxed EuErCuRh crystal. The functional is PBE.

```
4
Lattice="4.926 0.000 0.000 2.463 4.266 0.000 2.463 1.422 4.022" Properties=species:S:1:pos:R:3 pbc="T T T"
Eu 0.000 0.000 0.000
Rh 7.388 4.266 3.016
Cu 2.463 1.422 1.005
Er 4.926 2.844 2.011
```

Output
crystal system	cubic
energy of formation from the pure elements	-395	meV per atom

(7)
This record from Alexandria via LeMat-Bulk describes a relaxed RbHfTl crystal. The functional is PBE.

```
6
Lattice="-7.248 -12.982 -8.711 0.128 -1.915 2.747 -3.036 1.094 0.904" Properties=species:S:1:pos:R:3 pbc="T T T"
Tl -5.380 -9.395 -4.710
Tl -2.779 -4.769 -1.607
Hf -3.200 -3.337 1.454
Hf -0.942 -1.492 0.591
Rb -8.179 -12.201 -4.495
Rb -5.463 -7.374 -1.254
```

Output
E above lowest polymorph	0.128	eV/atom
crystal system	monoclinic
energy of formation from the pure elements	268	meV per atom

(8)
This record from Alexandria via LeMat-Bulk describes a relaxed EuCd2Ni crystal. The functional is PBE.

```
4
Lattice="-0.119 1.521 2.867 -2.166 -0.920 2.237 6.089 -6.543 5.561" Properties=species:S:1:pos:R:3 pbc="T T T"
Eu 0.000 0.000 0.000
Ni 1.902 -2.971 5.333
Cd 3.930 -4.419 4.345
Cd -0.127 -1.524 6.321
```

Output
crystal system	trigonal
energy of formation from the pure elements	316	meV per atom